*one*
A plane-wave DFT calculation with PBE was carried out for a geometry-optimized Sc4PSe2 structure.

a b c (Å): 3.7146 12.4104 12.4985
angles (deg): 90.00 90.00 90.00
Last column: nearest neighbours and their distance in Å.
Space group Cmcm (No. 63)
Inequivalent atoms, fractional coordinates:
Sc (0.0000, 0.0000, 0.0000) (multiplicity 4)  4 Se 2.68
Sc (0.0000, 0.2854, 0.1287) (multiplicity 8)  3 Se 2.61-2.70, 2 P 2.76
Sc (0.0000, 0.4581, 0.7500) (multiplicity 4)  2 Se 2.59, 2 P 2.60
P (0.0000, 0.1047, 0.7500) (multiplicity 4)  6 Sc 2.60-2.76
Se (0.0000, 0.3601, 0.5667) (multiplicity 8)  6 Sc 2.59-2.70

M_tot = 0.0 μB/cell


*two*
A plane-wave DFT calculation with PBE was carried out for a geometry-optimized Sc4PSe2 structure.

a b c (Å): 4.9146 4.9146 13.4634
angles (deg): 90.00 90.00 90.00
Last column: nearest neighbours and their distance in Å.
Space group I4/mmm (No. 139)
Inequivalent atoms, fractional coordinates:
Sc (0.0000, 0.0000, 0.1877) (multiplicity 4)  1 P 2.53, 1 Se 2.59
Sc (0.0000, 0.5000, 0.0000) (multiplicity 4)  2 P 2.46
P (0.0000, 0.0000, 0.0000) (multiplicity 2)  6 Sc 2.46-2.53
Se (0.0000, 0.0000, 0.3803) (multiplicity 4)  1 Sc 2.59

M_tot = 0.0 μB/cell


Quick one: most stable of them? *one*


*one*
A plane-wave DFT calculation with PBE was carried out for a geometry-optimized ScSiP3 structure.

a b c (Å): 4.8848 4.8848 4.8848
angles (deg): 90.00 90.00 90.00
Last column: nearest neighbours and their distance in Å.
Space group Pm-3m (No. 221)
Inequivalent atoms, fractional coordinates:
Sc (0.0000, 0.0000, 0.0000) (multiplicity 1)  6 P 2.44
Si (0.5000, 0.5000, 0.5000) (multiplicity 1)  12 P 3.45
P (0.0000, 0.0000, 0.5000) (multiplicity 3)  2 Sc 2.44

M_tot = 0.0 μB/cell


*two*
A plane-wave DFT calculation with PBE was carried out for a geometry-optimized ScSiP3 structure.

a b c (Å): 4.5208 4.5208 4.5208
angles (deg): 90.00 90.00 90.00
Last column: nearest neighbours and their distance in Å.
Space group Pm-3m (No. 221)
Inequivalent atoms, fractional coordinates:
Sc (0.0000, 0.0000, 0.0000) (multiplicity 1)  12 P 3.20
Si (0.5000, 0.5000, 0.5000) (multiplicity 1)  6 P 2.26
P (0.0000, 0.5000, 0.5000) (multiplicity 3)  2 Si 2.26

M_tot = 0.0 μB/cell


Quick one: most stable of them? *two*


*one*
A plane-wave DFT calculation with PBE was carried out for a geometry-optimized Sc2Si2P structure.

a b c (Å): 3.4654 3.4654 14.7939
angles (deg): 90.00 90.00 90.00
Last column: nearest neighbours and their distance in Å.
Space group I4/mmm (No. 139)
Inequivalent atoms, fractional coordinates:
Sc (0.0000, 0.0000, 0.0992) (multiplicity 4)  4 Si 2.83, 4 P 2.86, 1 Sc 2.93
Si (0.0000, 0.5000, 0.2500) (multiplicity 4)  4 Si 2.45
P (0.0000, 0.0000, 0.5000) (multiplicity 2)  8 Sc 2.86

M_tot = 0.0 μB/cell


*two*
A plane-wave DFT calculation with PBE was carried out for a geometry-optimized Sc2Si2P structure.

a b c (Å): 6.9300 6.9300 3.9538
angles (deg): 90.00 90.00 90.00
Last column: nearest neighbours and their distance in Å.
Space group P4/mbm (No. 127)
Inequivalent atoms, fractional coordinates:
Sc (0.1807, 0.3193, 0.0000) (multiplicity 4)  2 P 2.54, 2 Si 2.80
Si (0.1174, 0.6174, 0.5000) (multiplicity 4)  1 Si 2.30
P (0.0000, 0.0000, 0.0000) (multiplicity 2)  4 Sc 2.54

M_tot = 0.0 μB/cell


Quick one: most stable of them? *one*


*one*
A plane-wave DFT calculation with PBE was carried out for a geometry-optimized ScSi3P structure.

a b c (Å): 4.5630 4.5630 4.5630
angles (deg): 90.00 90.00 90.00
Last column: nearest neighbours and their distance in Å.
Space group Pm-3m (No. 221)
Inequivalent atoms, fractional coordinates:
Sc (0.0000, 0.0000, 0.0000) (multiplicity 1)  12 Si 3.23
Si (0.0000, 0.5000, 0.5000) (multiplicity 3)  2 P 2.28
P (0.5000, 0.5000, 0.5000) (multiplicity 1)  6 Si 2.28

M_tot = 0.0 μB/cell


*two*
A plane-wave DFT calculation with PBE was carried out for a geometry-optimized ScSi3P structure.

a b c (Å): 4.9901 4.9901 4.9901
angles (deg): 90.00 90.00 90.00
Last column: nearest neighbours and their distance in Å.
Space group Pm-3m (No. 221)
Inequivalent atoms, fractional coordinates:
Sc (0.0000, 0.0000, 0.0000) (multiplicity 1)  6 Si 2.50
Si (0.0000, 0.0000, 0.5000) (multiplicity 3)  2 Sc 2.50
P (0.5000, 0.5000, 0.5000) (multiplicity 1)  12 Si 3.53

M_tot = 0.0 μB/cell


Quick one: most stable of them? *one*


*one*
A plane-wave DFT calculation with PBE was carried out for a geometry-optimized ScSn3P structure.

a b c (Å): 5.4691 5.4691 5.4691
angles (deg): 90.00 90.00 90.00
Last column: nearest neighbours and their distance in Å.
Space group Pm-3m (No. 221)
Inequivalent atoms, fractional coordinates:
Sc (0.0000, 0.0000, 0.0000) (multiplicity 1)  6 Sn 2.73
Sn (0.0000, 0.0000, 0.5000) (multiplicity 3)  2 Sc 2.73
P (0.5000, 0.5000, 0.5000) (multiplicity 1)  12 Sn 3.87

M_tot = 0.0 μB/cell


*two*
A plane-wave DFT calculation with PBE was carried out for a geometry-optimized ScSn3P structure.

a b c (Å): 5.1823 5.1823 5.1823
angles (deg): 90.00 90.00 90.00
Last column: nearest neighbours and their distance in Å.
Space group Pm-3m (No. 221)
Inequivalent atoms, fractional coordinates:
Sc (0.0000, 0.0000, 0.0000) (multiplicity 1)  12 Sn 3.66
Sn (0.0000, 0.5000, 0.5000) (multiplicity 3)  2 P 2.59
P (0.5000, 0.5000, 0.5000) (multiplicity 1)  6 Sn 2.59

M_tot = 0.0 μB/cell


Quick one: most stable of them? *two*


*one*
A plane-wave DFT calculation with PBE was carried out for a geometry-optimized ScSnP3 structure.

a b c (Å): 4.9397 4.9397 4.9397
angles (deg): 90.00 90.00 90.00
Last column: nearest neighbours and their distance in Å.
Space group Pm-3m (No. 221)
Inequivalent atoms, fractional coordinates:
Sc (0.0000, 0.0000, 0.0000) (multiplicity 1)  6 P 2.47
Sn (0.5000, 0.5000, 0.5000) (multiplicity 1)  12 P 3.49
P (0.0000, 0.0000, 0.5000) (multiplicity 3)  2 Sc 2.47

M_tot = 0.0 μB/cell


*two*
A plane-wave DFT calculation with PBE was carried out for a geometry-optimized ScSnP3 structure.

a b c (Å): 4.9546 4.9546 4.9546
angles (deg): 90.00 90.00 90.00
Last column: nearest neighbours and their distance in Å.
Space group Pm-3m (No. 221)
Inequivalent atoms, fractional coordinates:
Sc (0.0000, 0.0000, 0.0000) (multiplicity 1)  12 P 3.50
Sn (0.5000, 0.5000, 0.5000) (multiplicity 1)  6 P 2.48
P (0.0000, 0.5000, 0.5000) (multiplicity 3)  2 Sn 2.48

M_tot = 0.0 μB/cell


Quick one: most stable of them? *one*


*one*
A plane-wave DFT calculation with PBE was carried out for a geometry-optimized SrScP structure.

a b c (Å): 3.6058 3.6058 12.1590
angles (deg): 90.00 90.00 90.00
Last column: nearest neighbours and their distance in Å.
Space group I4mm (No. 107)
Inequivalent atoms, fractional coordinates:
Sr (0.0000, 0.0000, 0.0000) (multiplicity 2)  1 Sc 3.20, 4 P 3.49
Sc (0.0000, 0.0000, 0.2632) (multiplicity 2)  4 P 2.68
P (0.0000, 0.0000, 0.6962) (multiplicity 2)  4 Sc 2.68

M_tot = 0.0 μB/cell


*two*
A plane-wave DFT calculation with PBE was carried out for a geometry-optimized SrScP structure.

a b c (Å): 4.4239 4.4239 4.9178
angles (deg): 90.00 90.00 120.00
Last column: nearest neighbours and their distance in Å.
Space group P3m1 (No. 156)
Inequivalent atoms, fractional coordinates:
Sr (0.0000, 0.0000, 0.0000) (multiplicity 1)  3 P 3.34, 6 Sc 3.53-3.56
Sc (0.3333, 0.6667, 0.4961) (multiplicity 1)  3 P 2.57
P (0.6667, 0.3333, 0.4381) (multiplicity 1)  3 Sc 2.57

M_tot = 0.0 μB/cell


*three*
A plane-wave DFT calculation with PBE was carried out for a geometry-optimized SrScP structure.

a b c (Å): 3.9991 3.9991 6.5546
angles (deg): 90.00 90.00 120.00
Last column: nearest neighbours and their distance in Å.
Space group P3m1 (No. 156)
Inequivalent atoms, fractional coordinates:
Sr (0.0000, 0.0000, 0.0000) (multiplicity 1)  3 P 3.07
Sc (0.3333, 0.6667, 0.4843) (multiplicity 1)  3 P 2.58
P (0.6667, 0.3333, 0.3079) (multiplicity 1)  3 Sc 2.58

M_tot = 0.2 μB/cell


*four*
A plane-wave DFT calculation with PBE was carried out for a geometry-optimized SrScP structure.

a b c (Å): 7.0287 7.0287 7.0287
angles (deg): 90.00 90.00 90.00
Last column: nearest neighbours and their distance in Å.
Space group F-43m (No. 216)
Inequivalent atoms, fractional coordinates:
Sr (0.0000, 0.0000, 0.0000) (multiplicity 4)  4 Sc 3.04, 4 P 3.04
Sc (0.2500, 0.2500, 0.7500) (multiplicity 4)  4 Sr 3.04
P (0.2500, 0.2500, 0.2500) (multiplicity 4)  4 Sr 3.04

M_tot = 7.8 μB/cell


Quick one: most stable of them? *three*


*one*
A plane-wave DFT calculation with PBE was carried out for a geometry-optimized SrSc2P2 structure.

a b c (Å): 4.3060 4.3060 12.8411
angles (deg): 90.00 90.00 90.00
Last column: nearest neighbours and their distance in Å.
Space group I4/mmm (No. 139)
Inequivalent atoms, fractional coordinates:
Sr (0.0000, 0.0000, 0.0000) (multiplicity 2)  8 P 3.49, 8 Sc 3.87
Sc (0.0000, 0.5000, 0.2500) (multiplicity 4)  4 P 2.63
P (0.0000, 0.0000, 0.3677) (multiplicity 4)  4 Sc 2.63

M_tot = 1.4 μB/cell


*two*
A plane-wave DFT calculation with PBE was carried out for a geometry-optimized SrSc2P2 structure.

a b c (Å): 7.6585 7.6585 3.5902
angles (deg): 90.00 90.00 90.00
Last column: nearest neighbours and their distance in Å.
Space group P4/mbm (No. 127)
Inequivalent atoms, fractional coordinates:
Sr (0.0000, 0.0000, 0.0000) (multiplicity 2)  4 P 2.94
Sc (0.1449, 0.3551, 0.5000) (multiplicity 4)  6 P 2.86-2.90, 1 Sc 3.14
P (0.1453, 0.6453, 0.0000) (multiplicity 4)  6 Sc 2.86-2.90, 2 Sr 2.94, 1 P 3.15

M_tot = 0.0 μB/cell


Quick one: most stable of them? *one*